Entry 1:
# PBE-GGA SrPuCuO5, optimized geometry
# - formation energy from raw total energies (meV per atom) = -2213
# - total DFT energy (no corrections) (eV per atom) = -7.826
data_SrPuCuO5
_chemical_formula_sum 'Sr4 Pu4 Cu4 O20'
_cell_length_a 7.2934
_cell_length_b 9.3902
_cell_length_c 8.0389
_cell_angle_alpha 90.00
_cell_angle_beta 116.46
_cell_angle_gamma 90.00
_space_group_name_H-M_alt 'C 1 2/c 1'
_space_group_IT_number 15
_space_group_name_Hall '-C 2yc'
loop_
_atom_site_label
_atom_site_fract_x
_atom_site_fract_y
_atom_site_fract_z
Sr1 0.0000 0.0777 0.2500
Pu1 0.2500 0.2500 0.0000
Cu1 0.0000 0.4592 0.2500
O1 0.0000 0.1848 0.7500
O2 0.0632 0.3038 0.1037
O3 0.2396 0.0438 0.0834

---

Entry 2:
# PBE-GGA TbPuCu2O6, optimized geometry
# - formation energy from raw total energies (meV per atom) = -2052
# - total DFT energy (no corrections) (eV per atom) = -7.743
data_TbPuCu2O6
_chemical_formula_sum 'Tb3 Pu3 Cu6 O18'
_cell_length_a 5.4502
_cell_length_b 5.4502
_cell_length_c 15.5658
_cell_angle_alpha 90.00
_cell_angle_beta 90.00
_cell_angle_gamma 120.00
_space_group_name_H-M_alt 'R -3'
_space_group_IT_number 148
_space_group_name_Hall '-R 3'
loop_
_atom_site_label
_atom_site_fract_x
_atom_site_fract_y
_atom_site_fract_z
Tb1 0.0000 0.0000 0.0000
Pu1 0.0000 0.0000 0.5000
Cu1 0.0000 0.0000 0.2424
O1 0.0078 0.6940 0.5791

---

Entry 3:
# PBE-GGA TbPuCu2O8, optimized geometry
# - formation energy from raw total energies (meV per atom) = -1539
# - total DFT energy (no corrections) (eV per atom) = -7.107
data_TbPuCu2O8
_chemical_formula_sum 'Tb2 Pu2 Cu4 O16'
_cell_length_a 6.7576
_cell_length_b 6.7576
_cell_length_c 6.8412
_cell_angle_alpha 90.00
_cell_angle_beta 90.00
_cell_angle_gamma 90.00
_space_group_name_H-M_alt 'I -4 m 2'
_space_group_IT_number 119
_space_group_name_Hall 'I -4 -2'
loop_
_atom_site_label
_atom_site_fract_x
_atom_site_fract_y
_atom_site_fract_z
Tb1 0.0000 0.0000 0.0000
Pu1 0.0000 0.5000 0.2500
Cu1 0.0000 0.0000 0.5000
Cu2 0.0000 0.5000 0.7500
O1 0.0000 0.2054 0.2987
O2 0.0000 0.3283 0.9547

---

Entry 4:
# PBE-GGA PuCu2TcO6, optimized geometry
# - formation energy from raw total energies (meV per atom) = -1522
# - total DFT energy (no corrections) (eV per atom) = -7.786
data_PuCu2TcO6
_chemical_formula_sum 'Pu3 Cu6 Tc3 O18'
_cell_length_a 5.3061
_cell_length_b 5.3061
_cell_length_c 14.7798
_cell_angle_alpha 90.00
_cell_angle_beta 90.00
_cell_angle_gamma 120.00
_space_group_name_H-M_alt 'R -3'
_space_group_IT_number 148
_space_group_name_Hall '-R 3'
loop_
_atom_site_label
_atom_site_fract_x
_atom_site_fract_y
_atom_site_fract_z
Pu1 0.0000 0.0000 0.0000
Cu1 0.0000 0.0000 0.2514
Tc1 0.0000 0.0000 0.5000
O1 0.0201 0.3131 0.5788

---

Calculated density in order - 6.40 7.79 7.00 7.81 g/cm³